[1]
First-principles (PBE) data for PrPaCuSi after structural relaxation, as listed in Alexandria via LeMat-Bulk.

Structure (POSCAR):
```
PrPaCuSi
1.0
0.000 3.544 3.544
3.544 0.000 3.544
3.544 3.544 0.000
Pr Pa Cu Si
1 1 1 1
direct
0.000 0.000 0.000
0.500 0.500 0.500
0.250 0.250 0.250
0.750 0.750 0.750
```

Output
DFT total energy: -24.089 eV per formula unit

[2]
First-principles (PBE) data for BaZnW after structural relaxation, as listed in Alexandria via LeMat-Bulk.

Structure (POSCAR):
```
BaZnW
1.0
3.103 0.000 0.000
-1.551 2.687 0.000
0.000 0.000 8.134
Ba Zn W
1 1 1
direct
0.000 0.000 0.000
0.333 0.667 0.623
0.667 0.333 0.363
```

Output
offset from the most stable computed form: 0.69 eV per formula unit

[3]
First-principles (PBE) data for Sc2Tl2Ir after structural relaxation, as listed in Alexandria via LeMat-Bulk.

Structure (POSCAR):
```
Sc2Tl2Ir
1.0
7.255 0.000 0.000
0.000 7.255 0.000
0.000 0.000 4.099
Sc Tl Ir
4 4 2
direct
0.169 0.331 0.000
0.331 0.831 0.000
0.669 0.169 0.000
0.831 0.669 0.000
0.141 0.641 0.500
0.359 0.141 0.500
0.641 0.859 0.500
0.859 0.359 0.500
0.000 0.000 0.500
0.500 0.500 0.500
```

Output
DFT total energy: -26.730 eV per formula unit

For reference, magnetization by record: 0.67, 0.00, 0.00 μB per formula unit.